1.
A plane-wave DFT calculation with PBE was carried out for a geometry-optimized Ni2BIr structure.

Properties
E_form: -0.182 eV per atom
uncorrected energy: -6.96 eV per atom
space-group type: Cmcm (63)

Lattice parameters (Å, degrees): 2.8474 8.3348 7.0753 90.00 90.00 90.00
Sites, in units of the cell vectors:
1 Ni 0.0000 0.1399 0.0669
2 Ni 0.0000 0.1399 0.4331
3 Ni 0.0000 0.8601 0.5669
4 Ni 0.0000 0.8601 0.9331
5 Ni 0.5000 0.3601 0.5669
6 Ni 0.5000 0.3601 0.9331
7 Ni 0.5000 0.6399 0.0669
8 Ni 0.5000 0.6399 0.4331
9 B 0.0000 0.2732 0.7500
10 B 0.0000 0.7268 0.2500
11 B 0.5000 0.2268 0.2500
12 B 0.5000 0.7732 0.7500
13 Ir 0.0000 0.4215 0.2500
14 Ir 0.0000 0.5785 0.7500
15 Ir 0.5000 0.0785 0.7500
16 Ir 0.5000 0.9215 0.2500

***

2.
A plane-wave DFT calculation with PBE was carried out for a geometry-optimized Pr2PbAu4 structure.

Properties
E_form: -0.523 eV per atom
uncorrected energy: -4.29 eV per atom
space-group type: R-3m (166)

Lattice parameters (Å, degrees): 9.0779 9.0779 9.0779 32.00 32.00 32.00
Sites, in units of the cell vectors:
1 Pr 0.2489 0.2489 0.2489
2 Pr 0.7511 0.7511 0.7511
3 Pb 0.0000 0.0000 0.0000
4 Au 0.1315 0.1315 0.1315
5 Au 0.3753 0.3753 0.3753
6 Au 0.6247 0.6247 0.6247
7 Au 0.8685 0.8685 0.8685

***

3.
A plane-wave DFT calculation with PBE was carried out for a geometry-optimized HoZrSb structure.

Properties
energy relative to the elements, uncorrected: -379 meV per atom
uncorrected energy: -6.13 eV per atom
space-group type: C2/m (12)

Lattice parameters (Å, degrees): 9.4320 9.4320 9.2345 93.98 93.98 25.17
Sites, in units of the cell vectors:
1 Ho 0.0406 0.0406 0.3368
2 Ho 0.4017 0.4017 0.1469
3 Ho 0.5983 0.5983 0.8531
4 Ho 0.9594 0.9594 0.6632
5 Zr 0.2441 0.2441 0.3750
6 Zr 0.2478 0.2478 0.8718
7 Zr 0.7522 0.7522 0.1282
8 Zr 0.7559 0.7559 0.6250
9 Sb 0.1371 0.1371 0.0981
10 Sb 0.1365 0.1365 0.6157
11 Sb 0.8635 0.8635 0.3843
12 Sb 0.8629 0.8629 0.9019

***

4.
A plane-wave DFT calculation with PBE was carried out for a geometry-optimized PrEr2Th3P6 structure.

Properties
E_form: -1.563 eV per atom
uncorrected energy: -7.28 eV per atom
space-group type: C2/m (12)

Lattice parameters (Å, degrees): 7.1144 7.1144 7.0619 99.69 99.69 119.93
Sites, in units of the cell vectors:
1 Pr 0.0000 0.0000 0.0000
2 Er 0.3327 0.6673 0.0000
3 Er 0.6673 0.3327 0.0000
4 Th 0.1651 0.8349 0.5000
5 Th 0.5000 0.5000 0.5000
6 Th 0.8349 0.1651 0.5000
7 P 0.0821 0.4236 0.2462
8 P 0.2602 0.2602 0.7556
9 P 0.4236 0.0821 0.2462
10 P 0.5764 0.9179 0.7538
11 P 0.7398 0.7398 0.2444
12 P 0.9179 0.5764 0.7538

***

5.
A plane-wave DFT calculation with PBE was carried out for a geometry-optimized Mn3V4W structure.

Properties
E_form: -0.184 eV per atom
uncorrected energy: -9.80 eV per atom
space-group type: P4/mmm (123)

Lattice parameters (Å, degrees): 2.9269 2.9269 11.8229 90.00 90.00 90.00
Sites, in units of the cell vectors:
1 Mn 0.0000 0.0000 0.0000
2 Mn 0.0000 0.0000 0.2417
3 Mn 0.0000 0.0000 0.7583
4 V 0.5000 0.5000 0.1204
5 V 0.5000 0.5000 0.3620
6 V 0.5000 0.5000 0.6380
7 V 0.5000 0.5000 0.8796
8 W 0.0000 0.0000 0.5000

***

6.
A plane-wave DFT calculation with PBE was carried out for a geometry-optimized Si2GeOs structure.

Properties
polymorph energy (0 for the lowest one): 37.2 meV per atom
energy relative to the elements, uncorrected: 364 meV per atom
uncorrected energy: -6.31 eV per atom
space-group type: I-42d (122)

Lattice parameters (Å, degrees): 5.4798 5.4798 11.1913 90.00 90.00 90.00
Sites, in units of the cell vectors:
1 Si 0.2276 0.2500 0.1250
2 Si 0.2500 0.7276 0.3750
3 Si 0.2500 0.7724 0.8750
4 Si 0.2724 0.2500 0.6250
5 Si 0.7276 0.7500 0.6250
6 Si 0.7500 0.2276 0.8750
7 Si 0.7500 0.2724 0.3750
8 Si 0.7724 0.7500 0.1250
9 Ge 0.0000 0.0000 0.5000
10 Ge 0.0000 0.5000 0.7500
11 Ge 0.5000 0.0000 0.2500
12 Ge 0.5000 0.5000 0.0000
13 Os 0.0000 0.0000 0.0000
14 Os 0.0000 0.5000 0.2500
15 Os 0.5000 0.0000 0.7500
16 Os 0.5000 0.5000 0.5000

***

7.
A plane-wave DFT calculation with PBE was carried out for a geometry-optimized Ho3CdP structure.

Properties
E_form: -0.544 eV per atom
uncorrected energy: -4.56 eV per atom
space-group type: Pm-3m (221)

Lattice parameters (Å, degrees): 5.2442 5.2442 5.2442 90.00 90.00 90.00
Sites, in units of the cell vectors:
1 Ho 0.0000 0.0000 0.5000
2 Ho 0.0000 0.5000 0.0000
3 Ho 0.5000 0.0000 0.0000
4 Cd 0.5000 0.5000 0.5000
5 P 0.0000 0.0000 0.0000

***

8.
A plane-wave DFT calculation with PBE was carried out for a geometry-optimized TlInF3 structure.

Properties
energy relative to the elements, uncorrected: -1930 meV per atom
uncorrected energy: -4.07 eV per atom
space-group type: Cm (8)

Lattice parameters (Å, degrees): 6.2366 6.2357 6.4457 90.00 118.64 90.00
Sites, in units of the cell vectors:
1 Tl 0.0000 0.0000 0.0000
2 Tl 0.5000 0.5000 0.0000
3 In 0.2996 0.0000 0.5977
4 In 0.7996 0.5000 0.5977
5 F 0.0620 0.2499 0.6232
6 F 0.0620 0.7501 0.6232
7 F 0.4855 0.0000 0.9743
8 F 0.5620 0.2501 0.6232
9 F 0.5620 0.7499 0.6232
10 F 0.9855 0.5000 0.9743

***

9.
A plane-wave DFT calculation with PBE was carried out for a geometry-optimized LiAcYRh structure.

Properties
E_form: -0.317 eV per atom
uncorrected energy: -5.28 eV per atom
space-group type: F-43m (216)

Lattice parameters (Å, degrees): 7.3262 7.3262 7.3262 90.00 90.00 90.00
Sites, in units of the cell vectors:
1 Li 0.0000 0.0000 0.0000
2 Li 0.0000 0.5000 0.5000
3 Li 0.5000 0.0000 0.5000
4 Li 0.5000 0.5000 0.0000
5 Ac 0.2500 0.2500 0.7500
6 Ac 0.2500 0.7500 0.2500
7 Ac 0.7500 0.2500 0.2500
8 Ac 0.7500 0.7500 0.7500
9 Y 0.2500 0.2500 0.2500
10 Y 0.2500 0.7500 0.7500
11 Y 0.7500 0.2500 0.7500
12 Y 0.7500 0.7500 0.2500
13 Rh 0.0000 0.0000 0.5000
14 Rh 0.0000 0.5000 0.0000
15 Rh 0.5000 0.0000 0.0000
16 Rh 0.5000 0.5000 0.5000

***

10.
A plane-wave DFT calculation with PBE was carried out for a geometry-optimized ZrC2I structure.

Properties
polymorph energy (0 for the lowest one): 0.0 meV per atom
energy relative to the elements, uncorrected: 1435 meV per atom
uncorrected energy: -5.70 eV per atom
space-group type: I-42d (122)

Lattice parameters (Å, degrees): 5.2608 5.2608 11.0114 90.00 90.00 90.00
Sites, in units of the cell vectors:
1 Zr 0.0000 0.0000 0.0000
2 Zr 0.0000 0.5000 0.2500
3 Zr 0.5000 0.0000 0.7500
4 Zr 0.5000 0.5000 0.5000
5 C 0.2155 0.2500 0.1250
6 C 0.2500 0.7155 0.3750
7 C 0.2500 0.7845 0.8750
8 C 0.2845 0.2500 0.6250
9 C 0.7155 0.7500 0.6250
10 C 0.7500 0.2155 0.8750
11 C 0.7500 0.2845 0.3750
12 C 0.7845 0.7500 0.1250
13 I 0.0000 0.0000 0.5000
14 I 0.0000 0.5000 0.7500
15 I 0.5000 0.0000 0.2500
16 I 0.5000 0.5000 0.0000

***

11.
A plane-wave DFT calculation with PBE was carried out for a geometry-optimized La2CuIr structure.

Properties
E_form: -0.227 eV per atom
uncorrected energy: -5.93 eV per atom
space-group type: I-4m2 (119)

Lattice parameters (Å, degrees): 4.3466 4.3466 9.4258 90.00 90.00 90.00
Sites, in units of the cell vectors:
1 La 0.0000 0.0000 0.0000
2 La 0.0000 0.5000 0.2500
3 La 0.5000 0.0000 0.7500
4 La 0.5000 0.5000 0.5000
5 Cu 0.0000 0.5000 0.7500
6 Cu 0.5000 0.0000 0.2500
7 Ir 0.0000 0.0000 0.5000
8 Ir 0.5000 0.5000 0.0000

***

12.
A plane-wave DFT calculation with PBE was carried out for a geometry-optimized CeZrSi structure.

Properties
polymorph energy (0 for the lowest one): 213.5 meV per atom
energy relative to the elements, uncorrected: -365 meV per atom
uncorrected energy: -7.00 eV per atom
space-group type: I4mm (107)

Lattice parameters (Å, degrees): 3.7110 3.7110 9.6785 90.00 90.00 90.00
Sites, in units of the cell vectors:
1 Ce 0.0000 0.0000 0.0000
2 Ce 0.5000 0.5000 0.5000
3 Zr 0.0000 0.0000 0.7228
4 Zr 0.5000 0.5000 0.2228
5 Si 0.0000 0.0000 0.3202
6 Si 0.5000 0.5000 0.8202

***

13.
A plane-wave DFT calculation with PBE was carried out for a geometry-optimized Pm2HoAs3 structure.

Properties
E_form: -1.518 eV per atom
uncorrected energy: -6.19 eV per atom
space-group type: I4/mmm (139)

Lattice parameters (Å, degrees): 4.1948 4.1948 17.7929 90.00 90.00 90.00
Sites, in units of the cell vectors:
1 Pm 0.0000 0.0000 0.1662
2 Pm 0.0000 0.0000 0.8338
3 Pm 0.5000 0.5000 0.3338
4 Pm 0.5000 0.5000 0.6662
5 Ho 0.0000 0.0000 0.5000
6 Ho 0.5000 0.5000 0.0000
7 As 0.0000 0.0000 0.0000
8 As 0.0000 0.0000 0.3356
9 As 0.0000 0.0000 0.6644
10 As 0.5000 0.5000 0.1644
11 As 0.5000 0.5000 0.5000
12 As 0.5000 0.5000 0.8356